# 1
DFT (PBE) results for a relaxed structure of SrMo3.

## Properties
* DFT formation energy: 1.4920 eV per atom
* offset from the most stable computed form: 0.807 eV per atom

CIF file:
```
data_SrMo3
_chemical_formula_sum 'Sr1 Mo3'
_cell_length_a 4.2849
_cell_length_b 4.2849
_cell_length_c 4.2849
_cell_angle_alpha 90.00
_cell_angle_beta 90.00
_cell_angle_gamma 90.00
_symmetry_space_group_name_H-M 'P m -3 m'
_symmetry_Int_Tables_number 221
_symmetry_space_group_name_Hall '-P 4 2 3'
loop_
_atom_site_label
_atom_site_fract_x
_atom_site_fract_y
_atom_site_fract_z
_atom_site_occupancy
Sr1 0.0000 0.0000 0.0000 1
Mo1 0.0000 0.5000 0.5000 1
```

---

# 2
DFT (PBE) results for a relaxed structure of SrMo.

## Properties
* DFT formation energy: 2.5970 eV per atom
* offset from the most stable computed form: 2.166 eV per atom

CIF file:
```
data_SrMo
_chemical_formula_sum 'Sr4 Mo4'
_cell_length_a 7.3281
_cell_length_b 7.3281
_cell_length_c 7.3281
_cell_angle_alpha 90.00
_cell_angle_beta 90.00
_cell_angle_gamma 90.00
_symmetry_space_group_name_H-M 'F -4 3 m'
_symmetry_Int_Tables_number 216
_symmetry_space_group_name_Hall 'F -4 2 3'
loop_
_atom_site_label
_atom_site_fract_x
_atom_site_fract_y
_atom_site_fract_z
_atom_site_occupancy
Sr1 0.0000 0.0000 0.0000 1
Mo1 0.2500 0.2500 0.7500 1
```